[1]
NdHo6Ag, optimized geometry, DFT GGA-PBE; total magnetization = 0.000 μB per atom; N(E_F) = 1.1771 states/eV per atom; VASP energy = -4.341 eV/atom; DFT formation energy = 0.044 eV/atom; symmetry = No. 148; volume = 243 Å³/cell
1.0
4.659 2.690 3.228
-4.659 2.690 3.228
0.000 -5.379 3.228
Nd Ho Ag
1 6 1
direct
0.000 0.000 0.000 Nd
0.072 0.547 0.264 Ho
0.264 0.072 0.547 Ho
0.453 0.736 0.928 Ho
0.547 0.264 0.072 Ho
0.736 0.928 0.453 Ho
0.928 0.453 0.736 Ho
0.500 0.500 0.500 Ag

[2]
Ta4HgCl, optimized geometry, DFT GGA-PBE; total magnetization = 0.000 μB per atom; N(E_F) = 0.6061 states/eV per atom; VASP energy = -7.461 eV/atom; symmetry = No. 216; volume = 123 Å³/cell
1.0
0.000 3.943 3.943
3.943 0.000 3.943
3.943 3.943 0.000
Ta Hg Cl
4 1 1
direct
0.376 0.376 0.376 Ta
0.376 0.376 0.871 Ta
0.376 0.871 0.376 Ta
0.871 0.376 0.376 Ta
0.750 0.750 0.750 Hg
0.000 0.000 0.000 Cl

[3]
Li2Ce2SmSn2, optimized geometry, DFT GGA-PBE; total magnetization = 0.319 μB per atom; N(E_F) = 1.6336 states/eV per atom; VASP energy = -4.493 eV/atom; DFT formation energy = -0.433 eV/atom; symmetry = No. 166; volume = 171 Å³/cell
1.0
2.317 1.338 9.191
-2.317 1.338 9.191
0.000 -2.676 9.191
Li Ce Sm Sn
2 2 1 2
direct
0.089 0.089 0.089 Li
0.911 0.911 0.911 Li
0.356 0.356 0.356 Ce
0.644 0.644 0.644 Ce
0.500 0.500 0.500 Sm
0.235 0.235 0.235 Sn
0.765 0.765 0.765 Sn

[4]
TcRhSe, optimized geometry, DFT GGA-PBE; total magnetization = 0.000 μB per atom; N(E_F) = 1.2341 states/eV per atom; VASP energy = -6.947 eV/atom; symmetry = No. 156; volume = 46 Å³/cell
1.0
2.936 0.000 0.000
-1.468 2.543 0.000
0.000 0.000 6.188
Tc Rh Se
1 1 1
direct
0.000 0.000 0.000 Tc
0.667 0.333 0.338 Rh
0.333 0.667 0.692 Se

[5]
TcHg2Sb, optimized geometry, DFT GGA-PBE; total magnetization = 0.000 μB per atom; N(E_F) = 0.6056 states/eV per atom; VASP energy = -3.412 eV/atom; symmetry = No. 8; volume = 89 Å³/cell
1.0
4.802 -1.778 0.000
4.802 1.778 0.000
-3.221 0.000 5.199
Tc Hg Sb
1 2 1
direct
0.000 0.000 0.000 Tc
0.295 0.295 0.571 Hg
0.508 0.508 0.364 Hg
0.694 0.694 0.962 Sb